1.
Crystalline SiHg2Au at its relaxed geometry, computed with PBEsol.

Values from the calculation:
Symmetry: No. 123
Formation energy without anion corrections, meV/atom: 294

Unit cell a=2.934 b=2.934 c=8.907 alpha=90.00 beta=90.00 gamma=90.00
Positions (direct):
Hg: 0.000 0.000 0.252
Si: 0.500 0.500 0.000
Au: 0.500 0.500 0.500
Hg: 0.000 0.000 0.748



2.
Crystalline SmHgAu2 at its relaxed geometry, computed with PBEsol.

Values from the calculation:
Symmetry: No. 225
Total energy, eV/atom: -3.9905

Unit cell a=4.907 b=4.907 c=4.907 alpha=60.00 beta=60.00 gamma=60.00
Positions (direct):
Au: 0.750 0.750 0.750
Sm: 0.000 0.000 0.000
Hg: 0.500 0.500 0.500
Au: 0.250 0.250 0.250



3.
Crystalline SrHg2Au at its relaxed geometry, computed with PBEsol.

Values from the calculation:
Symmetry: No. 123
Total energy, eV/atom: -2.1364

Unit cell a=4.492 b=4.492 c=4.866 alpha=90.00 beta=90.00 gamma=90.00
Positions (direct):
Hg: 0.000 0.500 0.000
Hg: 0.500 0.000 0.000
Sr: 0.500 0.500 0.500
Au: 0.000 0.000 0.500



4.
Crystalline Sr2HgAu at its relaxed geometry, computed with PBEsol.

Values from the calculation:
Symmetry: No. 166
Total energy, eV/atom: -2.5731

Unit cell a=4.458 b=4.458 c=8.060 alpha=73.95 beta=73.95 gamma=60.00
Positions (direct):
Sr: 0.258 0.258 0.227
Au: 0.000 0.000 0.000
Sr: 0.742 0.742 0.773
Hg: 0.500 0.500 0.500